No. 1
Material: SrTl2CdCu
Method: DFT, PBE
State: optimized geometry

Computed properties:
Energy relative to the elements: -0.05 eV/atom
SG: P4/mmm

The structure in extended XYZ format:
```
5
Lattice="5.285 0.000 0.000 0.000 5.285 0.000 0.000 0.000 5.138" Properties=species:S:1:pos:R:3 pbc="T T T"
Sr 2.643 2.643 2.569
Tl 0.000 2.643 0.000
Tl 2.643 0.000 0.000
Cu 0.000 0.000 0.000
Cd 0.000 0.000 2.569
```

No. 2
Material: SrTlCd2Cu
Method: DFT, PBE
State: optimized geometry

Computed properties:
Energy relative to the elements: -0.08 eV/atom
SG: P4/mmm

The structure in extended XYZ format:
```
5
Lattice="5.118 0.000 0.000 0.000 5.118 0.000 0.000 0.000 5.239" Properties=species:S:1:pos:R:3 pbc="T T T"
Sr 2.559 2.559 2.620
Tl 0.000 0.000 2.620
Cu 0.000 0.000 0.000
Cd 0.000 2.559 0.000
Cd 2.559 0.000 0.000
```

No. 3
Material: Sr2ZnCdCu
Method: DFT, PBE
State: optimized geometry

Computed properties:
Energy relative to the elements: -0.07 eV/atom
SG: P4/mmm

The structure in extended XYZ format:
```
5
Lattice="-2.984 3.305 -3.822 -4.543 -3.698 0.350 -1.752 2.486 3.517" Properties=species:S:1:pos:R:3 pbc="T T T"
Sr -2.272 -1.849 0.175
Sr -1.492 1.652 -1.911
Zn -0.876 1.243 1.759
Cu 0.000 0.000 0.000
Cd -4.640 1.046 0.022
```

No. 4
Material: TaCd2Cu
Method: DFT, PBE
State: optimized geometry

Computed properties:
Energy relative to the elements: 0.13 eV/atom
SG: P4mm

The structure in extended XYZ format:
```
4
Lattice="2.976 0.000 0.000 0.000 2.976 0.000 0.000 0.000 8.126" Properties=species:S:1:pos:R:3 pbc="T T T"
Cd 0.000 0.000 8.055
Cd 1.488 1.488 2.302
Cu 0.000 0.000 4.133
Ta 1.488 1.488 5.825
```

No. 5
Material: Ta2CdCu
Method: DFT, PBE
State: optimized geometry

Computed properties:
Energy relative to the elements: 0.11 eV/atom
SG: Cmm2

The structure in extended XYZ format:
```
4
Lattice="2.832 -0.004 0.000 -0.530 2.782 0.000 0.000 0.000 8.849" Properties=species:S:1:pos:R:3 pbc="T T T"
Cd 0.000 0.000 4.593
Cu 1.151 1.389 6.703
Ta 0.000 0.000 8.711
Ta 1.151 1.389 2.115
```

No. 6
Material: Ta2CdCu
Method: DFT, PBE
State: optimized geometry

Computed properties:
Energy relative to the elements: 0.28 eV/atom
SG: Pm

The structure in extended XYZ format:
```
4
Lattice="4.396 0.000 0.000 0.000 2.757 -0.015 0.000 1.419 5.754" Properties=species:S:1:pos:R:3 pbc="T T T"
Cd 0.000 2.612 2.908
Cu 2.198 2.606 4.392
Ta 0.000 4.003 5.641
Ta 2.198 1.219 1.405
```

no.,ρ (g/cm³)
1,7.779
2,7.021
3,4.321
4,10.826
5,12.814
6,12.791